AlZn2Cr | PBE-GGA | optimized geometry

a = 2.584 Å, b = 4.634 Å, c = 4.721 Å
α = 90.00°, β = 94.06°, γ = 90.00°
Space group P2/m (No. 10)
Inequivalent atoms, fractional coordinates:
1 Al 0.000 0.000 0.000 [1 per cell]
2 Zn 0.219 0.500 0.741 [2 per cell]
3 Cr 0.500 0.000 0.500 [1 per cell]

Computed properties:
As for the final energy: -3.85 eV per atom. The value obtained for the calculated volume is 14.10 Å³ per atom. The value obtained for the energy of formation from the pure elements is 12.9 kJ per mole of atoms. For the total magnetic moment, the calculation gives 1.0 μB/cell.

AlZnCr2 | PBE-GGA | optimized geometry

a = 3.002 Å, b = 3.002 Å, c = 5.905 Å
α = 90.00°, β = 90.00°, γ = 90.00°
Space group P4mm (No. 99)
Inequivalent atoms, fractional coordinates:
1 Al 0.000 0.000 0.000 [1 per cell]
2 Zn 0.500 0.500 0.726 [1 per cell]
3 Cr 0.000 0.000 0.457 [1 per cell]
4 Cr 0.500 0.500 0.265 [1 per cell]

Computed properties:
As for the final energy: -6.07 eV per atom. The value obtained for the calculated volume is 13.30 Å³ per atom. The value obtained for the energy of formation from the pure elements is -0.2 kJ per mole of atoms. For the total magnetic moment, the calculation gives 0.4 μB/cell.

AlZn2Cr | PBE-GGA | optimized geometry

a = 7.094 Å, b = 7.094 Å, c = 5.237 Å
α = 90.00°, β = 90.00°, γ = 90.00°
Space group I-42d (No. 122)
Inequivalent atoms, fractional coordinates:
1 Al 0.000 0.000 0.000 [4 per cell]
2 Zn 0.247 0.250 0.125 [8 per cell]
3 Cr 0.000 0.000 0.500 [4 per cell]

Computed properties:
As for the final energy: -3.57 eV per atom. The value obtained for the calculated volume is 16.47 Å³ per atom. The value obtained for the energy of formation from the pure elements is 39.6 kJ per mole of atoms. For the total magnetic moment, the calculation gives 11.5 μB/cell.

AlZnCr | PBE-GGA | optimized geometry

a = 2.961 Å, b = 2.961 Å, c = 9.844 Å
α = 90.00°, β = 90.00°, γ = 90.00°
Space group I4mm (No. 107)
Inequivalent atoms, fractional coordinates:
1 Al 0.000 0.000 0.000 [2 per cell]
2 Zn 0.000 0.000 0.680 [2 per cell]
3 Cr 0.000 0.000 0.343 [2 per cell]

Computed properties:
As for the final energy: -4.78 eV per atom. The value obtained for the calculated volume is 14.39 Å³ per atom. The value obtained for the energy of formation from the pure elements is 9.8 kJ per mole of atoms. For the total magnetic moment, the calculation gives 5.1 μB/cell.